No. 1
This record from the Alexandria database describes crystalline Tl6PtO8 at its relaxed geometry. The functional is PBE.

The value obtained for the total energy is -66.71 eV for the cell shown. As for the formation energy without anion corrections: -454 meV per atom.

Structure (POSCAR):
```
Tl6PtO8
1.0
5.107 2.949 3.143
-5.107 2.949 3.143
0.000 -5.897 3.143
Tl Pt O
6 1 8
direct
0.058 0.647 0.813
0.187 0.942 0.353
0.353 0.187 0.942
0.647 0.813 0.058
0.813 0.058 0.647
0.942 0.353 0.187
0.500 0.500 0.500
0.074 0.331 0.863
0.137 0.926 0.669
0.295 0.295 0.295
0.331 0.863 0.074
0.669 0.137 0.926
0.705 0.705 0.705
0.863 0.074 0.331
0.926 0.669 0.137
```

=====

No. 2
This record from the Alexandria database describes crystalline Dy3Ge2Ru at its relaxed geometry. The functional is PBE.

The value obtained for the energy relative to the elements is -0.73 eV per atom. The value obtained for the total energy is -146.80 eV for the cell shown.

Structure (POSCAR):
```
Dy3Ge2Ru
1.0
11.767 0.000 0.000
0.000 4.189 0.000
0.000 0.000 11.212
Dy Ge Ru
12 8 4
direct
0.055 0.250 0.127
0.122 0.750 0.554
0.225 0.250 0.795
0.275 0.750 0.295
0.378 0.250 0.054
0.445 0.750 0.627
0.555 0.250 0.373
0.622 0.750 0.946
0.725 0.250 0.705
0.775 0.750 0.205
0.878 0.250 0.446
0.945 0.750 0.873
0.009 0.750 0.311
0.190 0.750 0.998
0.310 0.250 0.498
0.491 0.250 0.811
0.509 0.750 0.189
0.690 0.750 0.502
0.810 0.250 0.002
0.991 0.250 0.689
0.130 0.250 0.368
0.370 0.750 0.868
0.630 0.250 0.132
0.870 0.750 0.632
```

=====

No. 3
This record from the Alexandria database describes crystalline Sr4InP at its relaxed geometry. The functional is PBE.

The value obtained for the energy relative to the elements is -0.56 eV per atom. The polymorph energy (0 for the lowest one) comes out at 0 meV/atom. The value obtained for the total energy is -36.44 eV for the cell shown.

Structure (POSCAR):
```
Sr4InP
1.0
4.547 -6.895 0.000
4.547 6.895 0.000
-1.997 0.000 7.292
Sr In P
8 2 2
direct
0.057 0.739 0.973
0.217 0.367 0.561
0.261 0.943 0.527
0.367 0.217 0.061
0.633 0.783 0.939
0.739 0.057 0.473
0.783 0.633 0.439
0.943 0.261 0.027
0.362 0.638 0.250
0.638 0.362 0.750
0.004 0.996 0.750
0.996 0.004 0.250
```

=====

No. 4
This record from the Alexandria database describes crystalline GeTe2Rh at its relaxed geometry. The functional is PBE.

The value obtained for the total energy is -18.05 eV for the cell shown. As for the formation energy without anion corrections: 50 meV per atom.

Structure (POSCAR):
```
GeTe2Rh
1.0
1.886 1.089 9.005
-1.886 1.089 9.005
0.000 -2.178 9.005
Ge Te Rh
1 2 1
direct
0.000 0.000 0.000
0.111 0.111 0.111
0.889 0.889 0.889
0.500 0.500 0.500
```

=====

No. 5
This record from the Alexandria database describes crystalline NaY4S6 at its relaxed geometry. The functional is PBE.

The value obtained for the total energy is -146.55 eV for the cell shown. As for the formation energy without anion corrections: -1939 meV per atom.

Structure (POSCAR):
```
NaY4S6
1.0
1.958 -6.539 0.000
1.958 6.539 0.000
0.000 0.000 20.451
Na Y S
2 8 12
direct
0.154 0.846 0.750
0.846 0.154 0.250
0.099 0.901 0.138
0.099 0.901 0.362
0.368 0.632 0.044
0.368 0.632 0.456
0.632 0.368 0.544
0.632 0.368 0.956
0.901 0.099 0.638
0.901 0.099 0.862
0.000 0.000 0.000
0.000 0.000 0.500
0.191 0.809 0.250
0.274 0.726 0.580
0.274 0.726 0.920
0.462 0.538 0.160
0.462 0.538 0.340
0.538 0.462 0.660
0.538 0.462 0.840
0.726 0.274 0.080
0.726 0.274 0.420
0.809 0.191 0.750
```

=====

No. 6
This record from the Alexandria database describes crystalline U2Sn2Se3S2 at its relaxed geometry. The functional is PBE.

The value obtained for the total energy is -53.40 eV for the cell shown. As for the formation energy without anion corrections: -457 meV per atom.

Structure (POSCAR):
```
U2Sn2Se3S2
1.0
-2.622 2.622 9.767
2.622 -2.622 9.767
2.622 2.622 -9.767
U Sn Se S
2 2 3 2
direct
0.000 0.500 0.500
0.500 0.000 0.500
0.191 0.191 0.000
0.809 0.809 0.000
0.000 0.000 0.000
0.250 0.750 0.500
0.750 0.250 0.500
0.424 0.424 0.000
0.576 0.576 0.000
```

=====

No. 7
This record from the Alexandria database describes crystalline LiIrRh2 at its relaxed geometry. The functional is PBE.

The value obtained for the energy relative to the elements is -0.08 eV per atom. The polymorph energy (0 for the lowest one) comes out at 46 meV/atom. The value obtained for the total energy is -25.79 eV for the cell shown.

Structure (POSCAR):
```
LiIrRh2
1.0
-1.901 1.901 3.755
1.901 -1.901 3.755
1.901 1.901 -3.755
Li Ir Rh
1 1 2
direct
0.000 0.000 0.000
0.500 0.500 0.000
0.250 0.750 0.500
0.750 0.250 0.500
```

=====

No. 8
This record from the Alexandria database describes crystalline NdScCd2 at its relaxed geometry. The functional is PBE.

The value obtained for the energy relative to the elements is -0.30 eV per atom. The polymorph energy (0 for the lowest one) comes out at 0 meV/atom. The value obtained for the total energy is -14.11 eV for the cell shown.

Structure (POSCAR):
```
NdScCd2
1.0
3.624 0.000 0.000
0.000 3.624 0.000
0.000 0.000 7.692
Nd Sc Cd
1 1 2
direct
0.000 0.000 0.000
0.000 0.000 0.500
0.500 0.500 0.283
0.500 0.500 0.717
```

=====

No. 9
This record from the Alexandria database describes crystalline LaTb2Rh at its relaxed geometry. The functional is PBE.

The value obtained for the energy relative to the elements is -0.50 eV per atom. The polymorph energy (0 for the lowest one) comes out at 0 meV/atom. The value obtained for the total energy is -94.10 eV for the cell shown.

Structure (POSCAR):
```
LaTb2Rh
1.0
7.252 0.000 0.000
0.000 9.676 0.000
0.000 0.000 6.503
La Tb Rh
4 8 4
direct
0.041 0.250 0.138
0.459 0.750 0.638
0.541 0.250 0.362
0.959 0.750 0.862
0.174 0.066 0.668
0.174 0.434 0.668
0.326 0.566 0.168
0.326 0.934 0.168
0.674 0.066 0.832
0.674 0.434 0.832
0.826 0.566 0.332
0.826 0.934 0.332
0.122 0.750 0.433
0.378 0.250 0.933
0.622 0.750 0.067
0.878 0.250 0.567
```

=====

No. 10
This record from the Alexandria database describes crystalline LiTc2Ni at its relaxed geometry. The functional is PBE.

The value obtained for the energy relative to the elements is 0.44 eV per atom. The polymorph energy (0 for the lowest one) comes out at 330 meV/atom. The value obtained for the total energy is -26.67 eV for the cell shown.

Structure (POSCAR):
```
LiTc2Ni
1.0
0.000 2.934 2.934
2.934 0.000 2.934
2.934 2.934 0.000
Li Tc Ni
1 2 1
direct
0.000 0.000 0.000
0.250 0.250 0.250
0.750 0.750 0.750
0.500 0.500 0.500
```

=====

No. 11
This record from the Alexandria database describes crystalline HfMoIrW at its relaxed geometry. The functional is PBE.

The value obtained for the energy relative to the elements is -0.27 eV per atom. The value obtained for the total energy is -43.67 eV for the cell shown.

Structure (POSCAR):
```
HfMoIrW
1.0
0.000 3.212 3.212
3.212 0.000 3.212
3.212 3.212 0.000
Hf Mo Ir W
1 1 1 1
direct
0.000 0.000 0.000
0.750 0.750 0.750
0.250 0.250 0.250
0.500 0.500 0.500
```